Record 1
NaZrTc3 after structural relaxation, computed with PBE.

abc: 4.8805 4.8805 4.8805
angles: 90.00 90.00 90.00
With the nearest neighbours (Å) after each atom.
Space group Pm-3m (No. 221)
One atom of each set of equivalent atoms:
Na: 0.0000 0.0000 0.0000  12 Tc 3.45
Zr: 0.5000 0.5000 0.5000  6 Tc 2.44
Tc: 0.0000 0.5000 0.5000  2 Zr 2.44

Output
* Fermi-level density of states: 4.56 states/eV per cell
* ΔH_f (0 K): 1.811 eV/atom

Record 2
ZrIrRu2 after structural relaxation, computed with PBE.

abc: 5.6677 7.6149 2.9021
angles: 90.00 90.00 90.00
With the nearest neighbours (Å) after each atom.
Space group Cmmm (No. 65)
One atom of each set of equivalent atoms:
Zr: 0.0000 0.0000 0.0000  8 Ru 2.78, 2 Ir 2.83, 2 Zr 2.90
Ir: 0.0000 0.5000 0.0000  8 Ru 2.78, 2 Zr 2.83, 2 Ir 2.90
Ru: 0.2500 0.2500 0.5000  4 Zr 2.78, 4 Ir 2.78, 4 Ru 2.83-2.90

Output
* Fermi-level density of states: 5.15 states/eV per cell
* ΔH_f (0 K): -0.206 eV/atom

Record 3
Ce2SmSe5 after structural relaxation, computed with PBE.

abc: 12.5083 8.4794 7.8202
angles: 90.00 90.00 90.00
With the nearest neighbours (Å) after each atom.
Space group Pnma (No. 62)
One atom of each set of equivalent atoms:
Ce: 0.1807 0.0013 0.0130  8 Se 2.92-3.23
Sm: 0.0087 0.7500 0.5814  7 Se 2.85-3.02
Se: 0.0022 0.7500 0.9675  1 Sm 3.02, 4 Ce 3.11
Se: 0.1046 0.0449 0.6626  2 Sm 2.85-2.95, 2 Ce 2.92-2.96
Se: 0.1852 0.7500 0.3240  1 Sm 2.99, 4 Ce 3.07-3.23
Se: 0.2160 0.2500 0.2941  1 Sm 2.97, 4 Ce 3.02-3.08

Output
* Fermi-level density of states: 35.93 states/eV per cell
* uncorrected formation energy: -1769 meV/atom

Record 4
NdUGa2O8 after structural relaxation, computed with PBE.

abc: 6.6246 6.8490 6.9177
angles: 90.00 90.00 90.00
With the nearest neighbours (Å) after each atom.
Space group Cmmm (No. 65)
One atom of each set of equivalent atoms:
Nd: 0.0000 0.0000 0.0000  6 O 2.30-2.35
U: 0.0000 0.0000 0.5000  6 O 2.09
Ga: 0.0000 0.5000 0.2565  6 O 1.93-2.15
O: 0.0000 0.3054 0.5000  1 U 2.09, 2 Ga 2.15
O: 0.0000 0.3360 0.0000  2 Ga 2.10, 1 O 2.25, 1 Nd 2.30
O: 0.2092 0.0000 0.2748  1 Ga 1.93, 1 U 2.09

Output
* Fermi-level density of states: 9.83 states/eV per cell
* uncorrected formation energy: -2322 meV/atom

Record 5
Cs3ZrCo after structural relaxation, computed with PBE.

abc: 7.1446 7.1446 7.1446
angles: 90.00 90.00 90.00
With the nearest neighbours (Å) after each atom.
Space group Pm-3m (No. 221)
One atom of each set of equivalent atoms:
Cs: 0.0000 0.0000 0.5000  2 Zr 3.57
Zr: 0.0000 0.0000 0.0000  6 Cs 3.57
Co: 0.5000 0.5000 0.5000  12 Cs 5.05

Output
* Fermi-level density of states: 3.95 states/eV per cell
* ΔH_f (0 K): 1.585 eV/atom

Record 6
MnTl2Se after structural relaxation, computed with PBE.

abc: 3.4382 5.2965 11.1821
angles: 90.00 90.00 90.00
With the nearest neighbours (Å) after each atom.
Space group Imm2 (No. 44)
One atom of each set of equivalent atoms:
Mn: 0.0000 0.0000 0.0000  2 Se 2.46
Tl: 0.0000 0.0000 0.4523  4 Mn 3.20, 4 Tl 3.44-3.45, 2 Se 3.50
Tl: 0.0000 0.5000 0.2542  2 Mn 3.24, 4 Se 3.34, 4 Tl 3.44-3.45
Se: 0.0000 0.5000 0.6574  2 Mn 2.46

Output
* Fermi-level density of states: 4.39 states/eV per cell
* uncorrected formation energy: 42 meV/atom

| no. | magnetization (Bohr magnetons per cell) | DFT total energy (eV per atom) |
| --- | --- | --- |
| 1 | 3.50 | -6.38 |
| 2 | 0.00 | -9.20 |
| 3 | 4.12 | -6.02 |
| 4 | 0.85 | -7.47 |
| 5 | 2.19 | -2.06 |
| 6 | 7.75 | -4.30 |